[1]
Material: LaSi2Ir
Method: DFT, PBE
State: optimized geometry

Calculated values
* electronic total energy: -6.48 eV per atom
* magnetic moment: 0.00 μB/f.u.
* DOS(E_F): 0.598 states/eV per atom
* formation energy without anion corrections: -1.30 eV/f.u.

Cell lengths 5.6947, 5.6947, 5.6947 Å; angles 149.50, 120.99, 67.88 degrees
With the nearest neighbours (Å) after each atom.
Fractional coordinates of all 4 atoms:
Ir 0.7500 0.2500 0.5000  4 Si 2.46
La 0.2500 0.7500 0.5000  2 La 3.00, 4 Si 3.15, 4 Ir 3.18
Si 0.9568 0.9568 0.0000  2 Ir 2.46
Si 0.5432 0.5432 0.0000  2 Ir 2.46

---

[2]
Material: La3Si2Ir2
Method: DFT, PBE
State: optimized geometry

Calculated values
* electronic total energy: -7.06 eV per atom
* magnetic moment: 0.00 μB/f.u.
* DOS(E_F): 0.809 states/eV per atom
* formation energy without anion corrections: -6.08 eV/f.u.

Cell lengths 5.8548, 8.0727, 13.4643 Å; angles 90.00, 90.00, 90.00 degrees
With the nearest neighbours (Å) after each atom.
Fractional coordinates of all 28 atoms:
La 0.1357 0.6140 0.1011  4 Ir 2.99-3.20, 3 Si 3.11-3.25
La 0.8643 0.3860 0.6011  4 Ir 2.99-3.20, 3 Si 3.11-3.25
La 0.8643 0.1140 0.3989  4 Ir 2.99-3.20, 3 Si 3.11-3.25
La 0.1357 0.8860 0.8989  4 Ir 2.99-3.20, 3 Si 3.11-3.25
La 0.8643 0.3860 0.8989  4 Ir 2.99-3.20, 3 Si 3.11-3.25
La 0.1357 0.6140 0.3989  4 Ir 2.99-3.20, 3 Si 3.11-3.25
La 0.1357 0.8860 0.6011  4 Ir 2.99-3.20, 3 Si 3.11-3.25
La 0.8643 0.1140 0.1011  4 Ir 2.99-3.20, 3 Si 3.11-3.25
La 0.3628 0.2632 0.2500  5 Si 3.04-3.37, 4 Ir 3.15-3.20
La 0.6372 0.7368 0.7500  5 Si 3.04-3.37, 4 Ir 3.15-3.20
La 0.6372 0.7632 0.2500  5 Si 3.04-3.37, 4 Ir 3.15-3.20
La 0.3628 0.2368 0.7500  5 Si 3.04-3.37, 4 Ir 3.15-3.20
Si 0.3956 0.2500 0.0000  4 Ir 2.55-2.56
Si 0.6044 0.7500 0.5000  4 Ir 2.55-2.56
Si 0.6044 0.7500 0.0000  4 Ir 2.55-2.56
Si 0.3956 0.2500 0.5000  4 Ir 2.55-2.56
Si 0.8410 0.4103 0.2500  2 Ir 2.54
Si 0.1590 0.5897 0.7500  2 Ir 2.54
Si 0.1590 0.9103 0.2500  2 Ir 2.54
Si 0.8410 0.0897 0.7500  2 Ir 2.54
Ir 0.6301 0.4710 0.0894  3 Si 2.54-2.56
Ir 0.3699 0.5290 0.5894  3 Si 2.54-2.56
Ir 0.3699 0.9710 0.4106  3 Si 2.54-2.56
Ir 0.6301 0.0290 0.9106  3 Si 2.54-2.56
Ir 0.3699 0.5290 0.9106  3 Si 2.54-2.56
Ir 0.6301 0.4710 0.4106  3 Si 2.54-2.56
Ir 0.6301 0.0290 0.5894  3 Si 2.54-2.56
Ir 0.3699 0.9710 0.0894  3 Si 2.54-2.56

---

[3]
Material: La2SiSnIr
Method: DFT, PBE
State: optimized geometry

Calculated values
* electronic total energy: -5.31 eV per atom
* magnetic moment: 0.00 μB/f.u.
* DOS(E_F): 0.853 states/eV per atom
* formation energy without anion corrections: 1.58 eV/f.u.

Cell lengths 5.6037, 4.7751, 5.6037 Å; angles 90.00, 90.00, 90.00 degrees
With the nearest neighbours (Å) after each atom.
Fractional coordinates of all 5 atoms:
Si 0.0000 0.0000 0.0000  2 Sn 2.39
Ir 0.5000 0.5000 0.5000  8 La 3.68, 4 Sn 3.96
Sn 0.0000 0.5000 0.0000  2 Si 2.39
La 0.0000 0.0000 0.5000  2 Si 2.80
La 0.5000 0.0000 0.0000  2 Si 2.80

---

[4]
Material: La2TaSi4Ir3
Method: DFT, PBE
State: optimized geometry

Calculated values
* electronic total energy: -7.87 eV per atom
* magnetic moment: 0.00 μB/f.u.
* DOS(E_F): 0.577 states/eV per atom
* formation energy without anion corrections: -8.74 eV/f.u.

Cell lengths 4.1959, 4.1959, 10.4912 Å; angles 90.00, 90.00, 90.00 degrees
With the nearest neighbours (Å) after each atom.
Fractional coordinates of all 10 atoms:
La 0.5000 0.0000 0.2387  8 Si 3.21-3.27, 6 Ir 3.22-3.45, 2 Ta 3.45
La 0.0000 0.5000 0.7613  8 Si 3.21-3.27, 6 Ir 3.22-3.45, 2 Ta 3.45
Ta 0.5000 0.5000 0.5000  4 Si 2.59
Si 0.5000 0.5000 0.0000  4 Ir 2.44
Si 0.0000 0.0000 0.0000  4 Ir 2.44
Si 0.5000 0.0000 0.6450  3 Ir 2.48-2.59, 2 Ta 2.59
Si 0.0000 0.5000 0.3550  3 Ir 2.48-2.59, 2 Ta 2.59
Ir 0.0000 0.0000 0.5000  4 Si 2.59
Ir 0.5000 0.0000 0.8809  5 Si 2.44-2.48
Ir 0.0000 0.5000 0.1191  5 Si 2.44-2.48

---

[5]
Material: La2TbSi3Ir4
Method: DFT, PBE
State: optimized geometry

Calculated values
* electronic total energy: -7.57 eV per atom
* magnetic moment: 0.00 μB/f.u.
* DOS(E_F): 0.569 states/eV per atom
* formation energy without anion corrections: -9.49 eV/f.u.

Cell lengths 4.1894, 4.1894, 11.0299 Å; angles 90.00, 90.00, 90.00 degrees
With the nearest neighbours (Å) after each atom.
Fractional coordinates of all 10 atoms:
La 0.5000 0.0000 0.2345  8 Ir 3.17-3.33, 4 Si 3.24
La 0.0000 0.5000 0.7655  8 Ir 3.17-3.33, 4 Si 3.24
Tb 0.5000 0.5000 0.5000  4 Ir 2.77, 4 Si 2.96
Si 0.0000 0.0000 0.5000  4 Ir 2.77, 4 Tb 2.96
Si 0.5000 0.0000 0.8841  5 Ir 2.43-2.45
Si 0.0000 0.5000 0.1159  5 Ir 2.43-2.45
Ir 0.5000 0.5000 0.0000  4 Si 2.45
Ir 0.0000 0.0000 0.0000  4 Si 2.45
Ir 0.5000 0.0000 0.6638  1 Si 2.43
Ir 0.0000 0.5000 0.3362  1 Si 2.43

---

[6]
Material: La2Tb2Si4Ir
Method: DFT, PBE
State: optimized geometry

Calculated values
* electronic total energy: -6.00 eV per atom
* magnetic moment: 0.00 μB/f.u.
* DOS(E_F): 0.855 states/eV per atom
* formation energy without anion corrections: -4.32 eV/f.u.

Cell lengths 6.5486, 6.5486, 6.5486 Å; angles 96.76, 116.18, 116.18 degrees
With the nearest neighbours (Å) after each atom.
Fractional coordinates of all 9 atoms:
La 0.5000 0.7500 0.2500  8 Si 3.27, 4 Tb 3.51
La 0.5000 0.2500 0.7500  8 Si 3.27, 4 Tb 3.51
Tb 0.0000 0.6857 0.6857  1 Ir 2.73, 4 Si 2.96
Tb 0.0000 0.3143 0.3143  1 Ir 2.73, 4 Si 2.96
Si 0.0000 0.7534 0.2466  1 Ir 2.41
Si 0.5068 0.7534 0.7534  1 Ir 2.41
Si 0.0000 0.2466 0.7534  1 Ir 2.41
Si 0.4932 0.2466 0.2466  1 Ir 2.41
Ir 0.0000 0.0000 0.0000  4 Si 2.41

---

[7]
Material: LaTh2Si2Ir7
Method: DFT, PBE
State: optimized geometry

Calculated values
* electronic total energy: -8.45 eV per atom
* magnetic moment: 0.00 μB/f.u.
* DOS(E_F): 0.608 states/eV per atom
* formation energy without anion corrections: -8.77 eV/f.u.

Cell lengths 4.1304, 4.1304, 13.3892 Å; angles 84.54, 84.54, 89.43 degrees
With the nearest neighbours (Å) after each atom.
Fractional coordinates of all 12 atoms:
La 0.0000 0.0000 0.0000  12 Ir 2.91-3.03
Th 0.9036 0.9036 0.3479  9 Ir 3.07-3.20, 4 Si 3.14-3.24
Th 0.0964 0.0964 0.6521  9 Ir 3.07-3.20, 4 Si 3.14-3.24
Si 0.5772 0.5772 0.7454  5 Ir 2.33-2.37
Si 0.4228 0.4228 0.2546  5 Ir 2.33-2.37
Ir 0.5000 0.5000 0.0000  4 La 2.91-2.94, 8 Ir 3.03
Ir 0.3665 0.3665 0.4303  1 Si 2.33, 1 Ir 2.59
Ir 0.6335 0.6335 0.5697  1 Si 2.33, 1 Ir 2.59
Ir 0.9492 0.4504 0.1666  2 Si 2.37
Ir 0.4504 0.9492 0.1666  2 Si 2.37
Ir 0.5496 0.0508 0.8334  2 Si 2.37
Ir 0.0508 0.5496 0.8334  2 Si 2.37

---

[8]
Material: La2USi3Ir12
Method: DFT, PBE
State: optimized geometry

Calculated values
* electronic total energy: -8.03 eV per atom
* magnetic moment: 0.00 μB/f.u.
* DOS(E_F): 0.643 states/eV per atom
* formation energy without anion corrections: -0.77 eV/f.u.

Cell lengths 7.6915, 7.6915, 7.6915 Å; angles 63.58, 63.58, 63.58 degrees
With the nearest neighbours (Å) after each atom.
Fractional coordinates of all 18 atoms:
La 0.6024 0.6024 0.6024  6 Ir 2.80-2.86
La 0.3976 0.3976 0.3976  6 Ir 2.80-2.86
U 0.0000 0.0000 0.0000  6 Ir 2.57
Si 0.5000 0.0000 0.0000  6 Ir 2.35-2.40
Si 0.0000 0.5000 0.0000  6 Ir 2.35-2.40
Si 0.0000 0.0000 0.5000  6 Ir 2.35-2.40
Ir 0.3561 0.3561 0.8971  2 Si 2.35
Ir 0.8587 0.8587 0.3902  1 Si 2.40, 1 U 2.57
Ir 0.3902 0.8587 0.8587  1 Si 2.40, 1 U 2.57
Ir 0.8971 0.3561 0.3561  2 Si 2.35
Ir 0.8587 0.3902 0.8587  1 Si 2.40, 1 U 2.57
Ir 0.3561 0.8971 0.3561  2 Si 2.35
Ir 0.6439 0.6439 0.1029  2 Si 2.35
Ir 0.1413 0.1413 0.6098  1 Si 2.40, 1 U 2.57
Ir 0.6098 0.1413 0.1413  1 Si 2.40, 1 U 2.57
Ir 0.1029 0.6439 0.6439  2 Si 2.35
Ir 0.1413 0.6098 0.1413  1 Si 2.40, 1 U 2.57
Ir 0.6439 0.1029 0.6439  2 Si 2.35

---

[9]
Material: LaZn2SiIr
Method: DFT, PBE
State: optimized geometry

Calculated values
* electronic total energy: -4.28 eV per atom
* magnetic moment: 0.00 μB/f.u.
* DOS(E_F): 0.727 states/eV per atom
* formation energy without anion corrections: 0.38 eV/f.u.
* energy relative to the lowest polymorph listed for this composition: 601.4 meV/atom

Cell lengths 4.8331, 5.3861, 4.8331 Å; angles 90.00, 90.00, 90.00 degrees
With the nearest neighbours (Å) after each atom.
Fractional coordinates of all 5 atoms:
Zn 0.0000 0.0000 0.5000  2 Ir 2.42
Zn 0.5000 0.0000 0.0000  2 Ir 2.42
Ir 0.0000 0.0000 0.0000  4 Zn 2.42, 2 La 2.69
Si 0.5000 0.5000 0.5000  4 La 3.42, 8 Zn 3.62
La 0.0000 0.5000 0.0000  2 Ir 2.69

---

[10]
Material: LaZn2SiIr
Method: DFT, PBE
State: optimized geometry

Calculated values
* electronic total energy: -4.88 eV per atom
* magnetic moment: 0.00 μB/f.u.
* DOS(E_F): 0.759 states/eV per atom
* formation energy without anion corrections: -2.63 eV/f.u.
* energy relative to the lowest polymorph listed for this composition: 0.0 meV/atom

Cell lengths 4.0710, 4.2621, 6.1401 Å; angles 110.31, 109.36, 90.00 degrees
With the nearest neighbours (Å) after each atom.
Fractional coordinates of all 5 atoms:
La 0.4386 0.4386 0.8771  8 Zn 3.21-3.49, 4 Si 3.21, 4 Ir 3.32-3.49
Zn 0.6946 0.1946 0.3891  2 Zn 2.52, 2 Si 2.52
Zn 0.0573 0.0573 0.1146  2 Zn 2.52, 1 Si 2.56, 2 Ir 2.64
Si 0.8197 0.8197 0.6395  2 Ir 2.40, 3 Zn 2.52-2.56
Ir 0.2020 0.7020 0.4039  2 Si 2.40, 2 Zn 2.64

---

[11]
Material: La2ZnSi3Ir4
Method: DFT, PBE
State: optimized geometry

Calculated values
* electronic total energy: -7.21 eV per atom
* magnetic moment: 0.00 μB/f.u.
* DOS(E_F): 0.766 states/eV per atom
* formation energy without anion corrections: -9.24 eV/f.u.

Cell lengths 4.2066, 4.2066, 10.1933 Å; angles 90.00, 90.00, 90.00 degrees
With the nearest neighbours (Å) after each atom.
Fractional coordinates of all 10 atoms:
La 0.5000 0.0000 0.2545  8 Ir 3.17-3.34, 6 Si 3.25-3.27, 2 Zn 3.27
La 0.0000 0.5000 0.7455  8 Ir 3.17-3.34, 6 Si 3.25-3.27, 2 Zn 3.27
Zn 0.5000 0.5000 0.5000  4 Ir 2.52
Si 0.0000 0.0000 0.5000  4 Ir 2.52
Si 0.5000 0.0000 0.8750  5 Ir 2.43-2.46
Si 0.0000 0.5000 0.1250  5 Ir 2.43-2.46
Ir 0.5000 0.5000 0.0000  4 Si 2.46
Ir 0.0000 0.0000 0.0000  4 Si 2.46
Ir 0.5000 0.0000 0.6368  3 Si 2.43-2.52, 2 Zn 2.52
Ir 0.0000 0.5000 0.3632  3 Si 2.43-2.52, 2 Zn 2.52